First-principles (PBE-GGA) data for a relaxed Sm3Dy5Tm crystal, as listed in Alexandria.

Lattice parameters (Å, degrees): 15.205 11.396 9.923 90.00 130.29 90.00
Space group C2/m (No. 12)
Unique sites:
Sm  0.000  0.000  0.000 [2 per cell]
Sm  0.000  0.500  0.500 [2 per cell]
Sm  0.008  0.000  0.312 [4 per cell]
Sm  0.021  0.500  0.860 [4 per cell]
Dy  0.000  0.243  0.500 [4 per cell]
Dy  0.156  0.249  0.248 [8 per cell]
Dy  0.221  0.000  0.729 [4 per cell]
Dy  0.223  0.500  0.538 [4 per cell]
Tm  0.249  0.500  0.898 [4 per cell]

Output
Total moment ... 0.000 μB per formula unit
E_form ... 0.53 eV/atom
Polymorph energy (0 for the lowest one) ... 3.24 eV per formula unit